# 1
VASP calculation (PBE-GGA) on Ba2TaOs after structural relaxation. Values from VASP.

```
&SYSTEM
  ibrav = 0, nat = 4, ntyp = 3
/
ATOMIC_SPECIES
Ba 137.33 Ba.upf
Ta 180.95 Ta.upf
Os 190.23 Os.upf
CELL_PARAMETERS angstrom
0.0000 3.8618 3.8618
3.8618 0.0000 3.8618
3.8618 3.8618 0.0000
ATOMIC_POSITIONS crystal
Ba 0.2500 0.2500 0.2500
Ba 0.7500 0.7500 0.7500
Ta 0.0000 0.0000 0.0000
Os 0.5000 0.5000 0.5000
```

Values from the calculation:
* energy above the most stable polymorph in this dataset: 30.81 kcal/mol of atoms
* total energy: -20.36 eV/f.u.
* volume: 115 Å³/cell

# 2
VASP calculation (PBE-GGA) on PuTlS3 after structural relaxation. Values from VASP.

```
&SYSTEM
  ibrav = 0, nat = 10, ntyp = 3
/
ATOMIC_SPECIES
Pu 244.00 Pu.upf
Tl 204.38 Tl.upf
S 32.06 S.upf
CELL_PARAMETERS angstrom
2.1105 -8.6159 0.0000
2.1105 8.6159 0.0000
0.0000 0.0000 6.9729
ATOMIC_POSITIONS crystal
Pu 0.1955 0.8045 0.7500
Pu 0.8045 0.1955 0.2500
Tl 0.4466 0.5534 0.7500
Tl 0.5534 0.4466 0.2500
S 0.0367 0.9633 0.7500
S 0.3262 0.6738 0.5036
S 0.3262 0.6738 0.9964
S 0.6738 0.3262 0.0036
S 0.6738 0.3262 0.4964
S 0.9633 0.0367 0.2500
```

Values from the calculation:
* energy above the most stable polymorph in this dataset: 0.11 kcal/mol of atoms
* total energy: -33.38 eV/f.u.
* volume: 254 Å³/cell

# 3
VASP calculation (PBE-GGA) on La6CeNd2Tm after structural relaxation. Values from VASP.

```
&SYSTEM
  ibrav = 0, nat = 10, ntyp = 4
/
ATOMIC_SPECIES
La 138.91 La.upf
Ce 140.12 Ce.upf
Nd 144.24 Nd.upf
Tm 168.93 Tm.upf
CELL_PARAMETERS angstrom
5.9027 -3.5193 0.0000
5.9027 3.5193 0.0000
-5.1398 0.0000 8.5907
ATOMIC_POSITIONS crystal
La 0.0388 0.5957 0.1853
La 0.1544 0.1544 0.4256
La 0.4043 0.9612 0.8147
La 0.5957 0.0388 0.1853
La 0.8456 0.8456 0.5744
La 0.9612 0.4043 0.8147
Ce 0.0000 0.0000 0.0000
Nd 0.4420 0.4420 0.8054
Nd 0.5580 0.5580 0.1946
Tm 0.5000 0.5000 0.5000
```

Values from the calculation:
* total energy: -47.49 eV/f.u.
* volume: 357 Å³/cell

# 4
VASP calculation (PBE-GGA) on VZnIN2 after structural relaxation. Values from VASP.

```
&SYSTEM
  ibrav = 0, nat = 5, ntyp = 4
/
ATOMIC_SPECIES
V 50.94 V.upf
Zn 65.41 Zn.upf
I 126.90 I.upf
N 14.01 N.upf
CELL_PARAMETERS angstrom
3.9174 0.0000 0.0000
0.0000 3.9174 0.0000
0.0000 0.0000 5.5326
ATOMIC_POSITIONS crystal
V 0.0000 0.0000 0.0000
Zn 0.5000 0.5000 0.5000
I 0.5000 0.5000 0.0000
N 0.0000 0.5000 0.5000
N 0.5000 0.0000 0.5000
```

Values from the calculation:
* energy above the most stable polymorph in this dataset: 29.98 kcal/mol of atoms
* total energy: -19.65 eV/f.u.
* volume: 85 Å³/cell

# 5
VASP calculation (PBE-GGA) on YZrRe2 after structural relaxation. Values from VASP.

```
&SYSTEM
  ibrav = 0, nat = 4, ntyp = 3
/
ATOMIC_SPECIES
Y 88.91 Y.upf
Zr 91.22 Zr.upf
Re 186.21 Re.upf
CELL_PARAMETERS angstrom
2.9513 -4.6269 0.0000
2.9513 4.6269 0.0000
-1.0597 0.0000 2.7273
ATOMIC_POSITIONS crystal
Y 0.0000 0.0000 0.0000
Zr 0.5000 0.5000 0.0000
Re 0.0000 0.5000 0.5000
Re 0.5000 0.0000 0.5000
```

Values from the calculation:
* energy above the most stable polymorph in this dataset: 6.38 kcal/mol of atoms
* total energy: -38.78 eV/f.u.
* volume: 74 Å³/cell

# 6
VASP calculation (PBE-GGA) on Ag2PAuSe4 after structural relaxation. Values from VASP.

```
&SYSTEM
  ibrav = 0, nat = 8, ntyp = 4
/
ATOMIC_SPECIES
Ag 107.87 Ag.upf
P 30.97 P.upf
Au 196.97 Au.upf
Se 78.96 Se.upf
CELL_PARAMETERS angstrom
-2.9976 2.9976 5.7210
2.9976 -2.9976 5.7210
2.9976 2.9976 -5.7210
ATOMIC_POSITIONS crystal
Ag 0.0000 0.0000 0.0000
Ag 0.7500 0.2500 0.5000
P 0.2500 0.7500 0.5000
Au 0.5000 0.5000 0.0000
Se 0.1481 0.0883 0.5063
Se 0.3582 0.8519 0.9402
Se 0.5820 0.6418 0.4937
Se 0.9117 0.4180 0.0598
```

Values from the calculation:
* total energy: -28.66 eV/f.u.
* volume: 206 Å³/cell

# 7
VASP calculation (PBE-GGA) on KZn2Mo after structural relaxation. Values from VASP.

```
&SYSTEM
  ibrav = 0, nat = 4, ntyp = 3
/
ATOMIC_SPECIES
K 39.10 K.upf
Zn 65.41 Zn.upf
Mo 95.94 Mo.upf
CELL_PARAMETERS angstrom
2.7645 0.0000 0.0000
0.0000 2.7645 0.0000
0.0000 0.0000 10.0008
ATOMIC_POSITIONS crystal
K 0.0000 0.0000 0.0000
Zn 0.0000 0.0000 0.5083
Zn 0.5000 0.5000 0.7141
Mo 0.5000 0.5000 0.3098
```

Values from the calculation:
* energy above the most stable polymorph in this dataset: 3.91 kcal/mol of atoms
* total energy: -12.11 eV/f.u.
* volume: 76 Å³/cell

# 8
VASP calculation (PBE-GGA) on Pm4YHo2Er2 after structural relaxation. Values from VASP.

```
&SYSTEM
  ibrav = 0, nat = 9, ntyp = 4
/
ATOMIC_SPECIES
Pm 145.00 Pm.upf
Y 88.91 Y.upf
Ho 164.93 Ho.upf
Er 167.26 Er.upf
CELL_PARAMETERS angstrom
7.6070 -2.5289 0.0000
7.6070 2.5289 0.0000
-2.5335 0.0000 7.6048
ATOMIC_POSITIONS crystal
Pm 0.0543 0.0543 0.3322
Pm 0.2769 0.2769 0.6674
Pm 0.7231 0.7231 0.3326
Pm 0.9457 0.9457 0.6678
Y 0.5000 0.5000 0.0000
Ho 0.3885 0.3885 0.3315
Ho 0.6115 0.6115 0.6685
Er 0.1676 0.1676 0.9997
Er 0.8324 0.8324 0.0003
```

Values from the calculation:
* total energy: -43.56 eV/f.u.
* volume: 293 Å³/cell

# 9
VASP calculation (PBE-GGA) on PrIrC after structural relaxation. Values from VASP.

```
&SYSTEM
  ibrav = 0, nat = 6, ntyp = 3
/
ATOMIC_SPECIES
Pr 140.91 Pr.upf
Ir 192.22 Ir.upf
C 12.01 C.upf
CELL_PARAMETERS angstrom
3.8745 0.0000 0.0000
0.0000 3.8745 0.0000
0.0000 0.0000 7.4869
ATOMIC_POSITIONS crystal
Pr 0.0000 0.0000 0.2500
Pr 0.0000 0.0000 0.7500
Ir 0.5000 0.5000 0.0000
Ir 0.5000 0.5000 0.5000
C 0.0000 0.5000 0.0000
C 0.5000 0.0000 0.5000
```

Values from the calculation:
* energy above the most stable polymorph in this dataset: 0.00 kcal/mol of atoms
* total energy: -24.05 eV/f.u.
* volume: 112 Å³/cell

# 10
VASP calculation (PBE-GGA) on La2AgAs2 after structural relaxation. Values from VASP.

```
&SYSTEM
  ibrav = 0, nat = 10, ntyp = 3
/
ATOMIC_SPECIES
La 138.91 La.upf
Ag 107.87 Ag.upf
As 74.92 As.upf
CELL_PARAMETERS angstrom
8.3556 0.0000 0.0000
0.0000 8.3556 0.0000
0.0000 0.0000 3.9068
ATOMIC_POSITIONS crystal
La 0.1472 0.3528 0.0000
La 0.3528 0.8528 0.0000
La 0.6472 0.1472 0.0000
La 0.8528 0.6472 0.0000
Ag 0.0000 0.0000 0.0000
Ag 0.5000 0.5000 0.0000
As 0.1598 0.6598 0.5000
As 0.3402 0.1598 0.5000
As 0.6598 0.8402 0.5000
As 0.8402 0.3402 0.5000
```

Values from the calculation:
* energy above the most stable polymorph in this dataset: 5.20 kcal/mol of atoms
* total energy: -25.99 eV/f.u.
* volume: 273 Å³/cell

# 11
VASP calculation (PBE-GGA) on La11Pm4Tm9 after structural relaxation. Values from VASP.

```
&SYSTEM
  ibrav = 0, nat = 24, ntyp = 3
/
ATOMIC_SPECIES
La 138.91 La.upf
Pm 145.00 Pm.upf
Tm 168.93 Tm.upf
CELL_PARAMETERS angstrom
8.5323 -12.9327 0.0000
8.5323 12.9327 0.0000
0.0000 0.0000 3.7319
ATOMIC_POSITIONS crystal
La 0.0000 0.0000 0.0000
La 0.0444 0.4066 0.0000
La 0.1592 0.8408 0.0000
La 0.2902 0.2902 0.0000
La 0.3672 0.6328 0.0000
La 0.4066 0.0444 0.0000
La 0.5934 0.9556 0.0000
La 0.6328 0.3672 0.0000
La 0.7098 0.7098 0.0000
La 0.8408 0.1592 0.0000
La 0.9556 0.5934 0.0000
Pm 0.2437 0.4447 0.5000
Pm 0.4447 0.2437 0.5000
Pm 0.5553 0.7563 0.5000
Pm 0.7563 0.5553 0.5000
Tm 0.0660 0.2119 0.5000
Tm 0.1651 0.6337 0.5000
Tm 0.2119 0.0660 0.5000
Tm 0.3663 0.8349 0.5000
Tm 0.5000 0.5000 0.5000
Tm 0.6337 0.1651 0.5000
Tm 0.7881 0.9340 0.5000
Tm 0.8349 0.3663 0.5000
Tm 0.9340 0.7881 0.5000
```

Values from the calculation:
* total energy: -111.76 eV/f.u.
* volume: 824 Å³/cell

# 12
VASP calculation (PBE-GGA) on In2NiAu after structural relaxation. Values from VASP.

```
&SYSTEM
  ibrav = 0, nat = 4, ntyp = 3
/
ATOMIC_SPECIES
In 114.82 In.upf
Ni 58.69 Ni.upf
Au 196.97 Au.upf
CELL_PARAMETERS angstrom
0.0000 3.3231 3.3231
3.3231 0.0000 3.3231
3.3231 3.3231 0.0000
ATOMIC_POSITIONS crystal
In 0.2500 0.2500 0.2500
In 0.7500 0.7500 0.7500
Ni 0.0000 0.0000 0.0000
Au 0.5000 0.5000 0.5000
```

Values from the calculation:
* energy above the most stable polymorph in this dataset: 2.95 kcal/mol of atoms
* total energy: -14.54 eV/f.u.
* volume: 73 Å³/cell

# 13
VASP calculation (PBE-GGA) on Cs2BAuBr6 after structural relaxation. Values from VASP.

```
&SYSTEM
  ibrav = 0, nat = 10, ntyp = 4
/
ATOMIC_SPECIES
Cs 132.91 Cs.upf
B 10.81 B.upf
Au 196.97 Au.upf
Br 79.90 Br.upf
CELL_PARAMETERS angstrom
-3.9016 3.9016 5.8595
3.9016 -3.9016 5.8595
3.9016 3.9016 -5.8595
ATOMIC_POSITIONS crystal
Cs 0.2500 0.7500 0.5000
Cs 0.7500 0.2500 0.5000
B 0.0000 0.0000 0.0000
Au 0.5000 0.5000 0.0000
Br 0.1976 0.1976 0.3953
Br 0.1976 0.8024 0.0000
Br 0.2912 0.2912 0.0000
Br 0.7088 0.7088 0.0000
Br 0.8024 0.1976 0.0000
Br 0.8024 0.8024 0.6047
```

Values from the calculation:
* total energy: -28.68 eV/f.u.
* volume: 357 Å³/cell

# 14
VASP calculation (PBE-GGA) on La2PbW after structural relaxation. Values from VASP.

```
&SYSTEM
  ibrav = 0, nat = 4, ntyp = 3
/
ATOMIC_SPECIES
La 138.91 La.upf
Pb 207.20 Pb.upf
W 183.84 W.upf
CELL_PARAMETERS angstrom
3.2976 -1.6093 0.0000
3.2976 1.6093 0.0000
-0.8953 0.0000 10.5755
ATOMIC_POSITIONS crystal
La 0.2396 0.2396 0.2816
La 0.7604 0.7604 0.7184
Pb 0.5000 0.5000 0.0000
W 0.0000 0.0000 0.5000
```

Values from the calculation:
* total energy: -24.89 eV/f.u.
* volume: 112 Å³/cell

# 15
VASP calculation (PBE-GGA) on Th2MgPb after structural relaxation. Values from VASP.

```
&SYSTEM
  ibrav = 0, nat = 4, ntyp = 3
/
ATOMIC_SPECIES
Th 232.04 Th.upf
Mg 24.30 Mg.upf
Pb 207.20 Pb.upf
CELL_PARAMETERS angstrom
4.9131 0.0000 0.0000
0.0000 4.9131 0.0000
0.0000 0.0000 4.7932
ATOMIC_POSITIONS crystal
Th 0.0000 0.5000 0.0000
Th 0.5000 0.0000 0.0000
Mg 0.0000 0.0000 0.5000
Pb 0.5000 0.5000 0.5000
```

Values from the calculation:
* total energy: -20.69 eV/f.u.
* volume: 116 Å³/cell

# 16
VASP calculation (PBE-GGA) on Li3Cd8In2 after structural relaxation. Values from VASP.

```
&SYSTEM
  ibrav = 0, nat = 13, ntyp = 3
/
ATOMIC_SPECIES
Li 6.94 Li.upf
Cd 112.41 Cd.upf
In 114.82 In.upf
CELL_PARAMETERS angstrom
2.8527 1.6470 10.7768
-2.8527 1.6470 10.7768
0.0000 -3.2940 10.7768
ATOMIC_POSITIONS crystal
Li 0.0000 0.0000 0.0000
Li 0.1858 0.1858 0.1858
Li 0.8142 0.8142 0.8142
Cd 0.2203 0.7206 0.7206
Cd 0.2714 0.2714 0.2714
Cd 0.2794 0.2794 0.7797
Cd 0.2794 0.7797 0.2794
Cd 0.7206 0.2203 0.7206
Cd 0.7206 0.7206 0.2203
Cd 0.7286 0.7286 0.7286
Cd 0.7797 0.2794 0.2794
In 0.3607 0.3607 0.3607
In 0.6393 0.6393 0.6393
```

Values from the calculation:
* total energy: -19.07 eV/f.u.
* volume: 304 Å³/cell

# 17
VASP calculation (PBE-GGA) on TaSbTe2 after structural relaxation. Values from VASP.

```
&SYSTEM
  ibrav = 0, nat = 4, ntyp = 3
/
ATOMIC_SPECIES
Ta 180.95 Ta.upf
Sb 121.76 Sb.upf
Te 127.60 Te.upf
CELL_PARAMETERS angstrom
-1.7310 2.4048 6.9010
1.7310 -2.4048 6.9010
1.7310 2.4048 -6.9010
ATOMIC_POSITIONS crystal
Ta 0.0000 0.0000 0.0000
Sb 0.8230 0.3230 0.5000
Te 0.1569 0.6569 0.5000
Te 0.4559 0.4559 0.0000
```

Values from the calculation:
* total energy: -21.64 eV/f.u.
* volume: 115 Å³/cell

# 18
VASP calculation (PBE-GGA) on CaNd2GeN after structural relaxation. Values from VASP.

```
&SYSTEM
  ibrav = 0, nat = 5, ntyp = 4
/
ATOMIC_SPECIES
Ca 40.08 Ca.upf
Nd 144.24 Nd.upf
Ge 72.64 Ge.upf
N 14.01 N.upf
CELL_PARAMETERS angstrom
4.9597 0.0000 0.0000
0.0000 4.9597 0.0000
0.0000 0.0000 4.7595
ATOMIC_POSITIONS crystal
Ca 0.0000 0.0000 0.0000
Nd 0.0000 0.5000 0.5000
Nd 0.5000 0.0000 0.5000
Ge 0.5000 0.5000 0.0000
N 0.0000 0.0000 0.5000
```

Values from the calculation:
* total energy: -28.84 eV/f.u.
* volume: 117 Å³/cell

# 19
VASP calculation (PBE-GGA) on KRbTl after structural relaxation. Values from VASP.

```
&SYSTEM
  ibrav = 0, nat = 6, ntyp = 3
/
ATOMIC_SPECIES
K 39.10 K.upf
Rb 85.47 Rb.upf
Tl 204.38 Tl.upf
CELL_PARAMETERS angstrom
7.4078 0.0000 0.0000
0.0000 5.4129 0.0000
-0.6450 0.0000 8.7464
ATOMIC_POSITIONS crystal
K 0.1163 0.2500 0.1752
K 0.8837 0.7500 0.8248
Rb 0.4019 0.2500 0.7012
Rb 0.5981 0.7500 0.2988
Tl 0.0927 0.7500 0.4615
Tl 0.9073 0.2500 0.5385
```

Values from the calculation:
* energy above the most stable polymorph in this dataset: 0.15 kcal/mol of atoms
* total energy: -4.58 eV/f.u.
* volume: 351 Å³/cell

# 20
VASP calculation (PBE-GGA) on Al2TeAs after structural relaxation. Values from VASP.

```
&SYSTEM
  ibrav = 0, nat = 4, ntyp = 3
/
ATOMIC_SPECIES
Al 26.98 Al.upf
Te 127.60 Te.upf
As 74.92 As.upf
CELL_PARAMETERS angstrom
-1.8136 1.8489 6.5609
1.8136 -1.8489 6.5609
1.8136 1.8489 -6.5609
ATOMIC_POSITIONS crystal
Al 0.0000 0.0000 0.0000
Al 0.7123 0.2123 0.5000
Te 0.3957 0.3957 0.0000
As 0.1489 0.6489 0.5000
```

Values from the calculation:
* energy above the most stable polymorph in this dataset: 5.14 kcal/mol of atoms
* total energy: -15.38 eV/f.u.
* volume: 88 Å³/cell